No. 1
DFT (PBE) results for a geometry-optimized GaBiW2 structure.

abc: 6.598 6.598 6.598
angles: 90.00 90.00 90.00
Space group Fm-3m (No. 225)
Symmetry-distinct sites (fractional):
Ga  0.000  0.000  0.000 [4 per cell]
Bi  0.000  0.000  0.500 [4 per cell]
W  0.250  0.250  0.250 [8 per cell]

Results
The calculation puts the energy relative to the elements at 0.95 eV/atom. The value obtained for the magnetization is 0.0 μB per cell. The value obtained for the density of states at the Fermi level is 17.5 states/eV per cell. The total DFT energy (no corrections) comes out at -7.257 eV/atom.

---

No. 2
DFT (PBE) results for a geometry-optimized GaBiW2 structure.

abc: 4.127 4.127 19.330
angles: 90.00 90.00 90.00
Space group I-42d (No. 122)
Symmetry-distinct sites (fractional):
Ga  0.000  0.000  0.000 [4 per cell]
Bi  0.000  0.000  0.500 [4 per cell]
W  0.185  0.250  0.125 [8 per cell]

Results
The calculation puts the energy relative to the elements at 0.86 eV/atom. The value obtained for the magnetization is 0.0 μB per cell. The value obtained for the density of states at the Fermi level is 10.7 states/eV per cell. The total DFT energy (no corrections) comes out at -7.340 eV/atom.

---

No. 3
DFT (PBE) results for a geometry-optimized GaBiW3 structure.

abc: 5.027 5.027 5.027
angles: 90.00 90.00 90.00
Space group Pm-3m (No. 221)
Symmetry-distinct sites (fractional):
Ga  0.000  0.000  0.000 [1 per cell]
Bi  0.500  0.500  0.500 [1 per cell]
W  0.000  0.500  0.500 [3 per cell]

Results
The calculation puts the energy relative to the elements at 3.10 eV/atom. The value obtained for the magnetization is 0.0 μB per cell. The value obtained for the density of states at the Fermi level is 4.9 states/eV per cell. The total DFT energy (no corrections) comes out at -6.055 eV/atom.

---

No. 4
DFT (PBE) results for a geometry-optimized GaBiW3 structure.

abc: 4.696 4.696 4.696
angles: 90.00 90.00 90.00
Space group Pm-3m (No. 221)
Symmetry-distinct sites (fractional):
Ga  0.000  0.000  0.000 [1 per cell]
Bi  0.500  0.500  0.500 [1 per cell]
W  0.000  0.000  0.500 [3 per cell]

Results
The calculation puts the energy relative to the elements at 1.86 eV/atom. The value obtained for the magnetization is 0.0 μB per cell. The value obtained for the density of states at the Fermi level is 6.3 states/eV per cell. The total DFT energy (no corrections) comes out at -7.296 eV/atom.

---

No. 5
DFT (PBE) results for a geometry-optimized Ga3BiW structure.

abc: 4.980 4.980 4.980
angles: 90.00 90.00 90.00
Space group Pm-3m (No. 221)
Symmetry-distinct sites (fractional):
Ga  0.000  0.000  0.500 [3 per cell]
Bi  0.500  0.500  0.500 [1 per cell]
W  0.000  0.000  0.000 [1 per cell]

Results
The calculation puts the energy relative to the elements at 0.61 eV/atom. The value obtained for the magnetization is 0.0 μB per cell. The value obtained for the density of states at the Fermi level is 5.8 states/eV per cell. The total DFT energy (no corrections) comes out at -4.572 eV/atom.

---

No. 6
DFT (PBE) results for a geometry-optimized ZrGaBiW2 structure.

abc: 4.682 4.682 5.246
angles: 90.00 90.00 90.00
Space group P4/mmm (No. 123)
Symmetry-distinct sites (fractional):
Zr  0.000  0.000  0.000 [1 per cell]
Ga  0.500  0.500  0.500 [1 per cell]
Bi  0.500  0.500  0.000 [1 per cell]
W  0.000  0.500  0.500 [2 per cell]

Results
The calculation puts the energy relative to the elements at 1.48 eV/atom. The value obtained for the magnetization is 0.0 μB per cell. The value obtained for the density of states at the Fermi level is 5.9 states/eV per cell. The total DFT energy (no corrections) comes out at -6.793 eV/atom.

---

No. 7
DFT (PBE) results for a geometry-optimized Y5GaBi2 structure.

abc: 8.228 12.224 4.615
angles: 90.00 90.00 90.00
Space group Pbam (No. 55)
Symmetry-distinct sites (fractional):
Y  0.000  0.000  0.000 [2 per cell]
Y  0.150  0.290  0.000 [4 per cell]
Y  0.191  0.563  0.500 [4 per cell]
Ga  0.000  0.500  0.000 [2 per cell]
Bi  0.074  0.826  0.500 [4 per cell]

Results
The calculation puts the energy relative to the elements at -0.64 eV/atom. The value obtained for the magnetization is 0.0 μB per cell. The value obtained for the density of states at the Fermi level is 19.9 states/eV per cell. The total DFT energy (no corrections) comes out at -6.033 eV/atom.

---

No. 8
DFT (PBE) results for a geometry-optimized YGaBi2 structure.

abc: 4.9655 4.9655 24.4345
angles: 90.00 90.00 120.00
Space group R-3m (No. 166, hexagonal axes)
Symmetry-distinct sites (fractional):
Y  0.0000  0.0000  0.0000 [3 per cell]
Ga  0.0000  0.0000  0.5000 [3 per cell]
Bi  0.0000  0.0000  0.3922 [6 per cell]

Results
The calculation puts the energy relative to the elements at 0.01 eV/atom. The value obtained for the magnetization is 0.0 μB per cell. The value obtained for the density of states at the Fermi level is 2.4 states/eV per cell. The total DFT energy (no corrections) comes out at -4.304 eV/atom.

---

No. 9
DFT (PBE) results for a geometry-optimized Y2Ga2Bi structure.

abc: 8.486 8.486 3.613
angles: 90.00 90.00 90.00
Space group P4/mbm (No. 127)
Symmetry-distinct sites (fractional):
Y  0.139  0.361  0.000 [4 per cell]
Ga  0.169  0.669  0.500 [4 per cell]
Bi  0.000  0.000  0.000 [2 per cell]

Results
The calculation puts the energy relative to the elements at -0.34 eV/atom. The value obtained for the magnetization is 0.0 μB per cell. The value obtained for the density of states at the Fermi level is 8.6 states/eV per cell. The total DFT energy (no corrections) comes out at -4.910 eV/atom.

---

No. 10
DFT (PBE) results for a geometry-optimized YGaBi3 structure.

abc: 5.904 5.904 5.904
angles: 90.00 90.00 90.00
Space group Pm-3m (No. 221)
Symmetry-distinct sites (fractional):
Y  0.000  0.000  0.000 [1 per cell]
Ga  0.500  0.500  0.500 [1 per cell]
Bi  0.000  0.000  0.500 [3 per cell]

Results
The calculation puts the energy relative to the elements at 0.32 eV/atom. The value obtained for the magnetization is 0.0 μB per cell. The value obtained for the density of states at the Fermi level is 4.3 states/eV per cell. The total DFT energy (no corrections) comes out at -3.906 eV/atom.

---

No. 11
DFT (PBE) results for a geometry-optimized Y2GaBi structure.

abc: 7.544 7.544 7.544
angles: 90.00 90.00 90.00
Space group Fm-3m (No. 225)
Symmetry-distinct sites (fractional):
Y  0.250  0.250  0.250 [8 per cell]
Ga  0.000  0.000  0.000 [4 per cell]
Bi  0.000  0.000  0.500 [4 per cell]

Results
The calculation puts the energy relative to the elements at -0.48 eV/atom. The value obtained for the magnetization is 0.0 μB per cell. The value obtained for the density of states at the Fermi level is 21.3 states/eV per cell. The total DFT energy (no corrections) comes out at -5.444 eV/atom.

---

No. 12
DFT (PBE) results for a geometry-optimized Y5Ga2Bi structure.

abc: 8.165 8.165 13.095
angles: 90.00 90.00 90.00
Space group I4/mcm (No. 140)
Symmetry-distinct sites (fractional):
Y  0.000  0.000  0.000 [4 per cell]
Y  0.153  0.347  0.141 [16 per cell]
Ga  0.148  0.352  0.500 [8 per cell]
Bi  0.000  0.000  0.250 [4 per cell]

Results
The calculation puts the energy relative to the elements at -0.62 eV/atom. The value obtained for the magnetization is 0.0 μB per cell. The value obtained for the density of states at the Fermi level is 29.6 states/eV per cell. The total DFT energy (no corrections) comes out at -5.897 eV/atom.